1.
This record from Alexandria via LeMat-Bulk describes crystalline Ho6Zn5 at its relaxed geometry. The functional is PBE.

extended XYZ file:
```
11
Lattice="-2.4907 3.5487 7.4368 2.4907 -3.5487 7.4368 2.4907 3.5487 -7.4368" Properties=species:S:1:pos:R:3 pbc="T T T"
Ho 2.4907 -1.7917 5.0018
Ho 2.4907 1.7660 0.0000
Ho 0.0000 1.7570 2.4350
Ho 2.4907 1.7917 5.0018
Ho 0.0000 1.7827 7.4368
Ho 0.0000 5.3405 2.4350
Zn 2.4907 0.0000 2.5558
Zn 0.0000 0.0000 4.9237
Zn 0.0000 3.5487 0.0000
Zn 0.0000 0.0000 9.9499
Zn 0.0000 3.5487 4.8810
```

## Properties
- Total magnetic moment: 0.00 μB per formula unit
- Energy of formation: -0.2525 eV per atom
- E: -36.61 eV per cell
- SG: Immm, No. 71

2.
This record from Alexandria via LeMat-Bulk describes crystalline CrTe2 at its relaxed geometry. The functional is PBE.

extended XYZ file:
```
6
Lattice="1.9026 -3.2949 0.0000 1.9026 3.2949 0.0000 0.0000 0.0000 12.9507" Properties=species:S:1:pos:R:3 pbc="T T T"
Cr 0.0000 0.0000 0.0000
Cr 1.9026 0.0000 6.4754
Te 1.9026 2.1954 8.0459
Te 1.9026 1.0995 1.5705
Te 1.9026 -1.0995 11.3802
Te 1.9026 -2.1954 4.9048
```

## Properties
- Total magnetic moment: 2.38 μB per formula unit
- E_form (uncorrected): -0.183 eV/atom
- E: -32.91 eV per cell
- SG: Cmce, No. 64